(1)
# GGA-PBE ThPaTlC, relaxed
# Magnetic moment   0.00 μB per formula unit
# DOS(E_F)   12.55 states/eV/cell
# Total DFT energy (no corrections)   -88.4 eV for the cell shown
data_ThPaTlC
_cell_length_a 3.5351
_cell_length_b 3.5351
_cell_length_c 25.8652
_cell_angle_alpha 90.00
_cell_angle_beta 90.00
_cell_angle_gamma 120.00
_symmetry_space_group_name_H-M 'R 3 m'
_symmetry_Int_Tables_number 160
_symmetry_space_group_name_Hall 'R 3 -2"'
loop_
_atom_site_label
_atom_site_fract_x
_atom_site_fract_y
_atom_site_fract_z
_atom_site_occupancy
Th1 0.0000 0.0000 0.0000 1
Pa1 0.0000 0.0000 0.7807 1
Tl1 0.0000 0.0000 0.2219 1
C1 0.0000 0.0000 0.3941 1



(2)
# GGA-PBE TmThPa2C4, relaxed
# Magnetic moment   0.00 μB per formula unit
# DOS(E_F)   3.75 states/eV/cell
# Total DFT energy (no corrections)   -71.0 eV for the cell shown
data_TmThPa2C4
_cell_length_a 6.280
_cell_length_b 3.653
_cell_length_c 6.322
_cell_angle_alpha 90.00
_cell_angle_beta 109.73
_cell_angle_gamma 90.00
_symmetry_space_group_name_H-M 'P 1 2/m 1'
_symmetry_Int_Tables_number 10
loop_
_symmetry_equiv_pos_as_xyz
'x,y,z'
'-x,-y,-z'
'-x,y,-z'
'x,-y,z'
loop_
_atom_site_label
_atom_site_fract_x
_atom_site_fract_y
_atom_site_fract_z
_atom_site_occupancy
Tm1 0.000 0.000 0.000 1
Th1 0.000 0.500 0.500 1
Pa1 0.500 0.000 0.500 1
Pa2 0.500 0.500 0.000 1
C1 0.272 0.500 0.257 1
C2 0.273 0.000 0.760 1



(3)
# GGA-PBE ThU2PaC4, relaxed
# Magnetic moment   0.00 μB per formula unit
# DOS(E_F)   6.32 states/eV/cell
# Total DFT energy (no corrections)   -78.5 eV for the cell shown
data_ThU2PaC4
_cell_length_a 6.150
_cell_length_b 3.597
_cell_length_c 6.237
_cell_angle_alpha 90.00
_cell_angle_beta 109.89
_cell_angle_gamma 90.00
_symmetry_space_group_name_H-M 'P 1 2/m 1'
_symmetry_Int_Tables_number 10
loop_
_symmetry_equiv_pos_as_xyz
'x,y,z'
'-x,-y,-z'
'-x,y,-z'
'x,-y,z'
loop_
_atom_site_label
_atom_site_fract_x
_atom_site_fract_y
_atom_site_fract_z
_atom_site_occupancy
Th1 0.000 0.000 0.000 1
U1 0.500 0.000 0.500 1
U2 0.500 0.500 0.000 1
Pa1 0.000 0.500 0.500 1
C1 0.277 0.000 0.749 1
C2 0.290 0.500 0.273 1



(4)
# GGA-PBE Th2UPaC4, relaxed
# Magnetic moment   0.00 μB per formula unit
# DOS(E_F)   5.90 states/eV/cell
# Total DFT energy (no corrections)   -75.0 eV for the cell shown
data_Th2UPaC4
_cell_length_a 6.329
_cell_length_b 3.642
_cell_length_c 6.350
_cell_angle_alpha 90.00
_cell_angle_beta 109.59
_cell_angle_gamma 90.00
_symmetry_space_group_name_H-M 'P 1 2/m 1'
_symmetry_Int_Tables_number 10
loop_
_symmetry_equiv_pos_as_xyz
'x,y,z'
'-x,-y,-z'
'-x,y,-z'
'x,-y,z'
loop_
_atom_site_label
_atom_site_fract_x
_atom_site_fract_y
_atom_site_fract_z
_atom_site_occupancy
Th1 0.000 0.000 0.000 1
Th2 0.500 0.500 0.000 1
U1 0.000 0.500 0.500 1
Pa1 0.500 0.000 0.500 1
C1 0.226 0.000 0.709 1
C2 0.253 0.500 0.284 1



(5)
# GGA-PBE ThUPa2C4, relaxed
# Magnetic moment   0.00 μB per formula unit
# DOS(E_F)   6.75 states/eV/cell
# Total DFT energy (no corrections)   -77.1 eV for the cell shown
data_ThUPa2C4
_cell_length_a 6.258
_cell_length_b 3.604
_cell_length_c 6.274
_cell_angle_alpha 90.00
_cell_angle_beta 109.73
_cell_angle_gamma 90.00
_symmetry_space_group_name_H-M 'P 1 2/m 1'
_symmetry_Int_Tables_number 10
loop_
_symmetry_equiv_pos_as_xyz
'x,y,z'
'-x,-y,-z'
'-x,y,-z'
'x,-y,z'
loop_
_atom_site_label
_atom_site_fract_x
_atom_site_fract_y
_atom_site_fract_z
_atom_site_occupancy
Th1 0.000 0.000 0.000 1
U1 0.500 0.500 0.000 1
Pa1 0.000 0.500 0.500 1
Pa2 0.500 0.000 0.500 1
C1 0.271 0.000 0.755 1
C2 0.276 0.500 0.262 1



(6)
# GGA-PBE Th2PaVC4, relaxed
# Magnetic moment   0.00 μB per formula unit
# DOS(E_F)   19.09 states/eV/cell
# Total DFT energy (no corrections)   -283.8 eV for the cell shown
data_Th2PaVC4
_cell_length_a 3.522
_cell_length_b 11.823
_cell_length_c 12.749
_cell_angle_alpha 90.00
_cell_angle_beta 90.00
_cell_angle_gamma 90.00
_symmetry_space_group_name_H-M 'C m c m'
_symmetry_Int_Tables_number 63
_symmetry_space_group_name_Hall '-C 2c 2'
loop_
_atom_site_label
_atom_site_fract_x
_atom_site_fract_y
_atom_site_fract_z
_atom_site_occupancy
Th1 0.000 0.136 0.045 1
Pa1 0.000 0.403 0.250 1
V1 0.000 0.329 0.750 1
C1 0.000 0.064 0.250 1
C2 0.000 0.220 0.642 1
C3 0.000 0.500 0.000 1



(7)
# GGA-PBE Th2PaWC4, relaxed
# Magnetic moment   0.00 μB per formula unit
# DOS(E_F)   20.01 states/eV/cell
# Total DFT energy (no corrections)   -296.8 eV for the cell shown
data_Th2PaWC4
_cell_length_a 3.498
_cell_length_b 12.100
_cell_length_c 12.976
_cell_angle_alpha 90.00
_cell_angle_beta 90.00
_cell_angle_gamma 90.00
_symmetry_space_group_name_H-M 'C m c m'
_symmetry_Int_Tables_number 63
_symmetry_space_group_name_Hall '-C 2c 2'
loop_
_atom_site_label
_atom_site_fract_x
_atom_site_fract_y
_atom_site_fract_z
_atom_site_occupancy
Th1 0.000 0.135 0.038 1
Pa1 0.000 0.397 0.250 1
W1 0.000 0.337 0.750 1
C1 0.000 0.056 0.250 1
C2 0.000 0.225 0.640 1
C3 0.000 0.500 0.000 1



(8)
# GGA-PBE ThPa2WC4, relaxed
# Magnetic moment   0.00 μB per formula unit
# DOS(E_F)   32.47 states/eV/cell
# Total DFT energy (no corrections)   -310.3 eV for the cell shown
data_ThPa2WC4
_cell_length_a 3.525
_cell_length_b 12.156
_cell_length_c 12.326
_cell_angle_alpha 90.00
_cell_angle_beta 90.00
_cell_angle_gamma 90.00
_symmetry_space_group_name_H-M 'C m c m'
_symmetry_Int_Tables_number 63
_symmetry_space_group_name_Hall '-C 2c 2'
loop_
_atom_site_label
_atom_site_fract_x
_atom_site_fract_y
_atom_site_fract_z
_atom_site_occupancy
Th1 0.000 0.103 0.250 1
Pa1 0.000 0.369 0.042 1
W1 0.000 0.159 0.750 1
C1 0.000 0.000 0.000 1
C2 0.000 0.265 0.626 1
C3 0.000 0.437 0.250 1



Please write out number 3 again, unchanged.
# GGA-PBE ThU2PaC4, relaxed
# Magnetic moment   0.00 μB per formula unit
# DOS(E_F)   6.32 states/eV/cell
# Total DFT energy (no corrections)   -78.5 eV for the cell shown
data_ThU2PaC4
_cell_length_a 6.150
_cell_length_b 3.597
_cell_length_c 6.237
_cell_angle_alpha 90.00
_cell_angle_beta 109.89
_cell_angle_gamma 90.00
_symmetry_space_group_name_H-M 'P 1 2/m 1'
_symmetry_Int_Tables_number 10
loop_
_symmetry_equiv_pos_as_xyz
'x,y,z'
'-x,-y,-z'
'-x,y,-z'
'x,-y,z'
loop_
_atom_site_label
_atom_site_fract_x
_atom_site_fract_y
_atom_site_fract_z
_atom_site_occupancy
Th1 0.000 0.000 0.000 1
U1 0.500 0.000 0.500 1
U2 0.500 0.500 0.000 1
Pa1 0.000 0.500 0.500 1
C1 0.277 0.000 0.749 1
C2 0.290 0.500 0.273 1